Record 1
TmAsNO: optimized geometry, PBE.

Cell: 3.7387 5.3646 5.9595 Å, 90.00 90.00 90.00°
Fractional coordinates of all 8 atoms:
O 0.5000 0.3082 0.3391
O 0.5000 0.8082 0.6609
Tm 0.0000 0.5116 0.3278
Tm 0.0000 0.0116 0.6722
N 0.0000 0.9292 0.2916
N 0.0000 0.4292 0.7084
As 0.5000 0.0050 0.1641
As 0.5000 0.5050 0.8359

Properties
Energy above the most stable polymorph in this dataset: 1.51 eV/f.u.

***

Record 2
LuTaSiNi: optimized geometry, PBE.

Cell: 4.5200 4.5200 4.5200 Å, 60.00 60.00 60.00°
Fractional coordinates of all 4 atoms:
Ta 0.2500 0.2500 0.2500
Ni 0.7500 0.7500 0.7500
Si 0.0000 0.0000 0.0000
Lu 0.5000 0.5000 0.5000

Properties
Energy above the most stable polymorph in this dataset: 0.00 eV/f.u.

***

Record 3
BeAlIrPb: optimized geometry, PBE.

Cell: 4.5477 4.5477 4.5477 Å, 60.00 60.00 60.00°
Fractional coordinates of all 4 atoms:
Pb 0.5000 0.5000 0.5000
Ir 0.2500 0.2500 0.2500
Al 0.0000 0.0000 0.0000
Be 0.7500 0.7500 0.7500

Properties
Energy above the most stable polymorph in this dataset: 0.09 eV/f.u.

***

Q: Among the records above, which one has the highest energy above the most stable polymorph in this dataset?
A: TmAsNO

***

Q: Look up the energy above the most stable polymorph in this dataset of the third one.
A: 0.09 eV/f.u.